Density functional theory data (PBE-GGA) for Cd4GaHg4 after structural relaxation.

Cell lengths 3.3108, 7.1649, 10.5758 Å; angles 108.22, 80.99, 76.64 degrees
Positions (direct):
1 Cd 0.6605 0.4482 0.2308
2 Cd 0.8916 0.8186 0.3983
3 Cd 0.3395 0.5518 0.7692
4 Cd 0.1084 0.1814 0.6017
5 Ga 0.5000 0.0000 0.0000
6 Hg 0.2694 0.1492 0.3120
7 Hg 0.7306 0.8508 0.6880
8 Hg 0.9013 0.2839 0.9136
9 Hg 0.0987 0.7161 0.0864

Computed properties:
E_form = 50.0 meV/atom
Magnetization = 0.0 μB per cell
SG = C2/m
Theoretical density = 9.77 g/cm³

Density functional theory data (PBE-GGA) for Cd4GaHg12 after structural relaxation.

Cell lengths 7.7076, 7.6342, 7.8285 Å; angles 95.33, 81.54, 94.90 degrees
Positions (direct):
1 Cd 0.0020 0.5137 0.9892
2 Cd 0.9873 0.0026 0.5289
3 Cd 0.4071 0.0301 0.9991
4 Cd 0.4400 0.5384 0.5017
5 Ga 0.0365 0.8994 0.1070
6 Hg 0.8152 0.1435 0.8879
7 Hg 0.9454 0.2395 0.2518
8 Hg 0.3308 0.4105 0.1316
9 Hg 0.0219 0.4324 0.5935
10 Hg 0.6318 0.4813 0.8050
11 Hg 0.1728 0.7946 0.7496
12 Hg 0.6656 0.7905 0.0816
13 Hg 0.2934 0.2190 0.7194
14 Hg 0.8285 0.6371 0.3684
15 Hg 0.5439 0.1676 0.3468
16 Hg 0.5958 0.9070 0.6258
17 Hg 0.2819 0.7928 0.3128

Computed properties:
E_form = 37.7 meV/atom
Magnetization = 0.0 μB per cell
SG = P1
Theoretical density = 10.74 g/cm³